[1]
The following is a PBE-GGA calculation of crystalline KPu2Pt9 at its relaxed geometry, from the Alexandria database.

CIF file:
```
data_KPu2Pt9
_space_group_name_H-M_alt 'R -3 m'
_space_group_IT_number 166
_space_group_name_Hall '-R 3 2"'
_cell_length_a 5.4807
_cell_length_b 5.4807
_cell_length_c 26.3793
_cell_angle_alpha 90.00
_cell_angle_beta 90.00
_cell_angle_gamma 120.00
loop_
_atom_site_label
_atom_site_fract_x
_atom_site_fract_y
_atom_site_fract_z
_atom_site_occupancy
K1 0.0000 0.0000 0.0000 1
Pu1 0.0000 0.0000 0.1406 1
Pt1 0.0000 0.0000 0.3320 1
Pt2 0.0000 0.0000 0.5000 1
Pt3 0.0045 0.5023 0.9150 1
```

Results
calculated volume = 686.2 Å³ per cell
calculated formation energy = -11.68 kcal/mol of atoms

=====

[2]
The following is a PBE-GGA calculation of crystalline TmTlSnI6 at its relaxed geometry, from the Alexandria database.

CIF file:
```
data_TmTlSnI6
_space_group_name_H-M_alt 'C 1 2 1'
_space_group_IT_number 5
_cell_length_a 7.996
_cell_length_b 13.867
_cell_length_c 7.624
_cell_angle_alpha 90.00
_cell_angle_beta 90.08
_cell_angle_gamma 90.00
loop_
_space_group_symop_operation_xyz
'x,y,z'
'-x,y,-z'
'x+1/2,y+1/2,z'
'-x+1/2,y+1/2,-z'
loop_
_atom_site_label
_atom_site_fract_x
_atom_site_fract_y
_atom_site_fract_z
_atom_site_occupancy
Tm1 0.000 0.000 0.000 1
Tl1 0.000 0.333 0.500 1
Sn1 0.000 0.667 0.000 1
I1 0.137 0.842 0.769 1
I2 0.168 0.148 0.769 1
I3 0.194 0.510 0.770 1
```

Results
calculated volume = 845.3 Å³ per cell
formation energy without anion corrections = -926 meV/atom

=====

[3]
The following is a PBE-GGA calculation of crystalline CsLiPu2Br8 at its relaxed geometry, from the Alexandria database.

CIF file:
```
data_CsLiPu2Br8
_space_group_name_H-M_alt 'P -1'
_space_group_IT_number 2
_cell_length_a 7.223
_cell_length_b 7.285
_cell_length_c 9.100
_cell_angle_alpha 89.92
_cell_angle_beta 89.93
_cell_angle_gamma 80.45
loop_
_space_group_symop_operation_xyz
'x,y,z'
'-x,-y,-z'
loop_
_atom_site_label
_atom_site_fract_x
_atom_site_fract_y
_atom_site_fract_z
_atom_site_occupancy
Cs1 0.000 0.000 0.000 1
Li1 0.000 0.000 0.500 1
Pu1 0.500 0.500 0.260 1
Br1 0.150 0.737 0.703 1
Br2 0.151 0.738 0.298 1
Br3 0.378 0.283 0.500 1
Br4 0.399 0.289 0.000 1
```

Results
calculated volume = 472.2 Å³ per cell
formation energy without anion corrections = -1517 meV/atom

=====

[4]
The following is a PBE-GGA calculation of crystalline Ba2SF2 at its relaxed geometry, from the Alexandria database.

CIF file:
```
data_Ba2SF2
_space_group_name_H-M_alt 'F d d d'
_space_group_IT_number 70
_cell_length_a 8.848
_cell_length_b 10.774
_cell_length_c 11.023
_cell_angle_alpha 90.00
_cell_angle_beta 90.00
_cell_angle_gamma 90.00
loop_
_space_group_symop_operation_xyz
'x,y,z'
'-x,-y,-z'
'-x+1/4,-y+1/4,z'
'x+1/4,y+1/4,-z'
'x,-y+1/4,-z+1/4'
'-x,y+1/4,z+1/4'
'-x+1/4,y,-z+1/4'
'x+1/4,-y,z+1/4'
'x,y+1/2,z+1/2'
'-x,-y+1/2,-z+1/2'
'-x+1/4,-y+3/4,z+1/2'
'x+1/4,y+3/4,-z+1/2'
'x,-y+3/4,-z+3/4'
'-x,y+3/4,z+3/4'
'-x+1/4,y+1/2,-z+3/4'
'x+1/4,-y+1/2,z+3/4'
'x+1/2,y,z+1/2'
'-x+1/2,-y,-z+1/2'
'-x+3/4,-y+1/4,z+1/2'
'x+3/4,y+1/4,-z+1/2'
'x+1/2,-y+1/4,-z+3/4'
'-x+1/2,y+1/4,z+3/4'
'-x+3/4,y,-z+3/4'
'x+3/4,-y,z+3/4'
'x+1/2,y+1/2,z'
'-x+1/2,-y+1/2,-z'
'-x+3/4,-y+3/4,z'
'x+3/4,y+3/4,-z'
'x+1/2,-y+3/4,-z+1/4'
'-x+1/2,y+3/4,z+1/4'
'-x+3/4,y+1/2,-z+1/4'
'x+3/4,-y+1/2,z+1/4'
loop_
_atom_site_label
_atom_site_fract_x
_atom_site_fract_y
_atom_site_fract_z
_atom_site_occupancy
Ba1 0.125 0.125 0.346 1
S1 0.125 0.125 0.625 1
F1 0.125 0.253 0.125 1
```

Results
calculated volume = 1050.9 Å³ per cell
formation energy without anion corrections = -3054 meV/atom

=====

[5]
The following is a PBE-GGA calculation of crystalline AcGdGa at its relaxed geometry, from the Alexandria database.

CIF file:
```
data_AcGdGa
_space_group_name_H-M_alt 'F -4 3 m'
_space_group_IT_number 216
_space_group_name_Hall 'F -4 2 3'
_cell_length_a 7.398
_cell_length_b 7.398
_cell_length_c 7.398
_cell_angle_alpha 90.00
_cell_angle_beta 90.00
_cell_angle_gamma 90.00
loop_
_atom_site_label
_atom_site_fract_x
_atom_site_fract_y
_atom_site_fract_z
_atom_site_occupancy
Ac1 0.000 0.000 0.000 1
Gd1 0.000 0.000 0.500 1
Ga1 0.250 0.250 0.750 1
```

Results
calculated volume = 404.9 Å³ per cell
calculated formation energy = -5.09 kcal/mol of atoms
polymorph energy (0 for the lowest one) = 0.25 eV/f.u.

=====

[6]
The following is a PBE-GGA calculation of crystalline Pm2Co2Ir at its relaxed geometry, from the Alexandria database.

CIF file:
```
data_Pm2Co2Ir
_space_group_name_H-M_alt 'P 4/m b m'
_space_group_IT_number 127
_space_group_name_Hall '-P 4 2ab'
_cell_length_a 6.734
_cell_length_b 6.734
_cell_length_c 4.176
_cell_angle_alpha 90.00
_cell_angle_beta 90.00
_cell_angle_gamma 90.00
loop_
_atom_site_label
_atom_site_fract_x
_atom_site_fract_y
_atom_site_fract_z
_atom_site_occupancy
Pm1 0.187 0.313 0.000 1
Co1 0.118 0.618 0.500 1
Ir1 0.000 0.000 0.500 1
```

Results
calculated volume = 189.4 Å³ per cell
calculated formation energy = -4.15 kcal/mol of atoms

=====

[7]
The following is a PBE-GGA calculation of crystalline K2CrMoOs at its relaxed geometry, from the Alexandria database.

CIF file:
```
data_K2CrMoOs
_space_group_name_H-M_alt 'P 4/m m m'
_space_group_IT_number 123
_space_group_name_Hall '-P 4 2'
_cell_length_a 6.419
_cell_length_b 6.419
_cell_length_c 4.204
_cell_angle_alpha 90.00
_cell_angle_beta 90.00
_cell_angle_gamma 90.00
loop_
_atom_site_label
_atom_site_fract_x
_atom_site_fract_y
_atom_site_fract_z
_atom_site_occupancy
K1 0.000 0.500 0.000 1
Cr1 0.000 0.000 0.500 1
Mo1 0.000 0.000 0.000 1
Os1 0.500 0.500 0.500 1
```

Results
calculated volume = 173.2 Å³ per cell
calculated formation energy = 59.28 kcal/mol of atoms